Below is crystalline Ba2CaEr3O8 at its relaxed geometry, with properties calculated at the PBE-GGA level.

Cell: 6.951 6.951 7.361 Å, 61.83 61.83 60.00°
Fractional coordinates of all 14 atoms:
Ba 0.126 0.126 0.623
Ba 0.499 0.499 0.504
Ca 0.895 0.895 0.315
Er 0.499 0.997 0.005
Er 0.997 0.499 0.005
Er 0.499 0.499 0.005
O 0.269 0.269 0.194
O 0.728 0.728 0.816
O 0.247 0.247 0.814
O 0.693 0.247 0.814
O 0.247 0.693 0.814
O 0.754 0.286 0.205
O 0.286 0.754 0.205
O 0.754 0.754 0.205

Output
The crystal system is trigonal. The space-group type is R3m, No. 160. The value obtained for the uncorrected formation energy is -2973 meV per atom. The value obtained for the density of states at the Fermi level is 0.743 states/eV/atom.

***

Below is crystalline Co2Re at its relaxed geometry, with properties calculated at the PBE-GGA level.

Cell: 4.627 4.627 4.627 Å, 60.00 60.00 60.00°
Fractional coordinates of all 6 atoms:
Co 0.000 0.500 0.500
Co 0.500 0.000 0.500
Co 0.500 0.500 0.000
Co 0.500 0.500 0.500
Re 0.125 0.125 0.125
Re 0.875 0.875 0.875

Output
The crystal system is cubic. The space-group type is Fd-3m, No. 227. Its formation energy is 0.16 eV per formula unit. The value obtained for the density of states at the Fermi level is 1.539 states/eV/atom.

***

Below is crystalline BeTe2PtAu at its relaxed geometry, with properties calculated at the PBE-GGA level.

Cell: 5.351 4.203 5.351 Å, 90.00 90.00 90.00°
Fractional coordinates of all 5 atoms:
Be 0.000 0.500 0.000
Te 0.000 0.000 0.500
Te 0.500 0.000 0.000
Au 0.500 0.500 0.500
Pt 0.000 0.000 0.000

Output
The crystal system is tetragonal. The space-group type is P4/mmm, No. 123. The value obtained for the uncorrected formation energy is 393 meV per atom. The value obtained for the density of states at the Fermi level is 0.824 states/eV/atom.

***

| no. | uncorrected energy (eV per atom) |
| --- | --- |
| 1 | -7.201 |
| 2 | -8.832 |
| 3 | -3.473 |